a.
## La6TbNd2 (PBE)

Data for a relaxed structure of La6TbNd2.

## Properties
The density of states at the Fermi level is 17.19 states/eV/cell. Its crystal system is hexagonal.

Structure (POSCAR):
```
La6TbNd2
1.0
-3.358 0.523 -1.430
2.862 -0.693 -2.220
-5.072 -27.204 1.954
Nd La Tb
2 6 1
direct
0.667 0.333 0.670
0.667 0.333 0.330
0.333 0.667 0.438
0.667 0.333 0.106
0.333 0.667 0.781
0.333 0.667 0.219
0.333 0.667 0.562
0.667 0.333 0.894
0.333 0.667 0.000
```

b.
## La6TbNd2 (PBE)

Data for a relaxed structure of La6TbNd2.

## Properties
The density of states at the Fermi level is 14.41 states/eV/cell. Its crystal system is orthorhombic.

Structure (POSCAR):
```
La6TbNd2
1.0
-2.421 2.559 1.146
-7.194 -4.075 -6.103
-6.490 -7.429 2.877
La Nd Tb
6 2 1
direct
0.000 0.508 0.164
0.500 0.321 0.679
0.000 0.836 0.492
0.000 0.164 0.508
0.000 0.492 0.836
0.500 0.679 0.321
0.500 0.173 0.173
0.500 0.827 0.827
0.000 0.000 0.000
```

The energy of each structure relative to the most stable one, in meV per atom, is as follows: a 0; b 58.